{"formula": "LuAlFeTc", "functional": "PBE", "state": "optimized geometry", "dft_energy_ha_per_atom": -0.250, "lattice": [[0.000, 3.164, 3.164], [3.164, 0.000, 3.164], [3.164, 3.164, 0.000]], "species": ["Al", "Fe", "Lu", "Tc"], "frac_coords": [[0.000, 0.000, 0.000], [0.750, 0.750, 0.750], [0.500, 0.500, 0.500], [0.250, 0.250, 0.250]]}